The following is a PBE calculation of Nd6Co2IBr3 after structural relaxation, from the Alexandria database.

Unit cell a=4.047 b=9.416 c=9.802 alpha=103.75 beta=101.91 gamma=90.00
Fractional coordinates of all 12 atoms:
Nd 0.320 0.451 0.640
Nd 0.680 0.549 0.360
Nd 0.678 0.151 0.355
Nd 0.970 0.720 0.941
Nd 0.030 0.280 0.059
Nd 0.322 0.849 0.645
Br 0.500 0.500 0.000
Br 0.844 0.161 0.687
Br 0.156 0.839 0.313
I 0.500 0.000 0.000
Co 0.170 0.340 0.340
Co 0.830 0.660 0.660

Results
DFT total energy in eV per atom: -4.913
Calculated density in g/cm3: 6.3
Fermi-level density of states in states/eV per cell: 11.78